(1)
Ac3Dy3PuSe8 | PBE | relaxed

Output
Energy relative to the elements, uncorrected ... -1808 meV/atom
Space-group type ... R-3m
Raw total energy ... -6.36 eV/atom

Cell: 8.622 8.622 8.622 Å, 58.22 58.22 58.22°
Atoms (fractional coordinates):
Ac 0.000 0.500 0.500
Ac 0.500 0.000 0.500
Ac 0.500 0.500 0.000
Dy 0.000 0.000 0.500
Dy 0.000 0.500 0.000
Dy 0.500 0.000 0.000
Pu 0.500 0.500 0.500
Se 0.233 0.749 0.749
Se 0.241 0.241 0.241
Se 0.251 0.251 0.767
Se 0.251 0.767 0.251
Se 0.749 0.233 0.749
Se 0.749 0.749 0.233
Se 0.759 0.759 0.759
Se 0.767 0.251 0.251



(2)
LaTcI2 | PBE | relaxed

Output
Energy relative to the elements, uncorrected ... 184 meV/atom
Space-group type ... I-42d
Raw total energy ... -4.41 eV/atom
Offset from the most stable computed form ... 100.3 meV/atom

Cell: 9.637 9.637 9.637 Å, 147.75 147.75 46.26°
Atoms (fractional coordinates):
La 0.000 0.000 0.000
La 0.750 0.250 0.500
Tc 0.250 0.750 0.500
Tc 0.500 0.500 0.000
I 0.183 0.625 0.058
I 0.375 0.433 0.558
I 0.567 0.125 0.942
I 0.875 0.817 0.442



(3)
Pu3Ni2P4 | PBE | relaxed

Output
Space-group type ... C2/m
Raw total energy ... -9.34 eV/atom
ΔH_f (0 K) ... -0.88 eV/atom

Cell: 5.637 5.637 7.837 Å, 110.70 110.70 41.38°
Atoms (fractional coordinates):
Pu 0.000 0.000 0.000
Pu 0.388 0.388 0.320
Pu 0.612 0.612 0.680
Ni 0.317 0.317 0.670
Ni 0.683 0.683 0.330
P 0.113 0.113 0.397
P 0.279 0.279 0.933
P 0.721 0.721 0.067
P 0.887 0.887 0.603



(4)
Mg2TcHg | PBE | relaxed

Output
Space-group type ... Cm
Raw total energy ... -3.26 eV/atom
ΔH_f (0 K) ... 0.20 eV/atom

Cell: 5.186 5.186 5.095 Å, 100.61 100.61 33.02°
Atoms (fractional coordinates):
Mg 0.000 0.000 0.000
Mg 0.235 0.235 0.702
Tc 0.492 0.492 0.507
Hg 0.751 0.751 0.229



(5)
Ca4ZnSb | PBE | relaxed

Output
Energy relative to the elements, uncorrected ... 201 meV/atom
Space-group type ... F-43m
Raw total energy ... -2.03 eV/atom

Cell: 6.626 6.626 6.626 Å, 60.00 60.00 60.00°
Atoms (fractional coordinates):
Ca 0.124 0.124 0.124
Ca 0.124 0.124 0.628
Ca 0.124 0.628 0.124
Ca 0.628 0.124 0.124
Zn 0.500 0.500 0.500
Sb 0.750 0.750 0.750



(6)
TaReRu2 | PBE | relaxed

Output
Space-group type ... C2/m
Raw total energy ... -10.75 eV/atom
Offset from the most stable computed form ... 69.0 meV/atom
ΔH_f (0 K) ... -0.04 eV/atom

Cell: 4.792 4.792 4.855 Å, 99.57 99.57 33.81°
Atoms (fractional coordinates):
Ta 0.000 0.000 0.000
Re 0.500 0.500 0.500
Ru 0.246 0.246 0.731
Ru 0.754 0.754 0.269



raw total energy of number 4 (Mg2TcHg)?
-3.26 eV/atom



What is the formula in the fourth record?
Mg2TcHg